Entry 1:
# NaMnBeTe2

A PBEsol-optimized structure of NaMnBeTe2 (SCAN, Alexandria via LeMat-Bulk).

The space group is P4/mmm (No. 123) and the conventional cell measures 5.129, 5.129 and 4.385 Å, with angles of 90.00, 90.00 and 90.00 degrees. The asymmetric unit holds Na at (0.000, 0.000, 0.000), Mn at (0.500, 0.500, 0.000), Be at (0.500, 0.500, 0.500) and Te at (0.000, 0.500, 0.500).

For the energy relative to the elements, uncorrected, the calculation gives 13 meV per atom. As for the total energy: -20.252 eV/atom. As for the total moment: 4.5 μB/f.u.

Entry 2:
# MnBeNi

A PBEsol-optimized structure of MnBeNi (SCAN, Alexandria via LeMat-Bulk).

The space group is P3m1 (No. 156) and the conventional cell measures 3.7826, 3.7826 and 2.3802 Å, with angles of 90.00, 90.00 and 120.00 degrees. The asymmetric unit holds Mn at (0.0000, 0.0000, 0.0000), Be at (0.6667, 0.3333, 0.4885) and Ni at (0.3333, 0.6667, 0.5082).

As for the total energy: -13.133 eV/atom. As for the total moment: 3.4 μB/f.u. The calculation puts the formation energy at -0.62 eV per formula unit.

Entry 3:
# MnBe2Ni

A PBEsol-optimized structure of MnBe2Ni (SCAN, Alexandria via LeMat-Bulk).

The space group is Imm2 (No. 44) and the conventional cell measures 2.624, 3.714 and 7.606 Å, with angles of 90.00, 90.00 and 90.00 degrees. The asymmetric unit holds Mn at (0.000, 0.000, 0.000), Be at (0.000, 0.000, 0.511), Be at (0.000, 0.500, 0.241) and Ni at (0.000, 0.500, 0.768).

As for the total energy: -11.035 eV/atom. As for the total moment: 3.3 μB/f.u. The calculation puts the formation energy at -1.00 eV per formula unit.

Entry 4:
# Mn2BeNi

A PBEsol-optimized structure of Mn2BeNi (SCAN, Alexandria via LeMat-Bulk).

The space group is P4/mmm (No. 123) and the conventional cell measures 2.401, 2.401 and 6.806 Å, with angles of 90.00, 90.00 and 90.00 degrees. The asymmetric unit holds Mn at (0.000, 0.000, 0.235), Be at (0.500, 0.500, 0.000) and Ni at (0.500, 0.500, 0.500).

As for the total energy: -14.301 eV/atom. As for the total moment: 5.3 μB/f.u. The calculation puts the formation energy at -0.17 eV per formula unit.

Entry 5:
# MnBeNi2

A PBEsol-optimized structure of MnBeNi2 (SCAN, Alexandria via LeMat-Bulk).

The space group is P4/mmm (No. 123) and the conventional cell measures 3.622, 3.622 and 3.146 Å, with angles of 90.00, 90.00 and 90.00 degrees. The asymmetric unit holds Mn at (0.000, 0.000, 0.000), Be at (0.500, 0.500, 0.000) and Ni at (0.000, 0.500, 0.500).

As for the total energy: -14.080 eV/atom. As for the total moment: 4.7 μB/f.u. The calculation puts the formation energy at -1.36 eV per formula unit.

Entry 6:
# Mn2BeNi

A PBEsol-optimized structure of Mn2BeNi (SCAN, Alexandria via LeMat-Bulk).

The space group is R3m (No. 160, hexagonal axes) and the conventional cell measures 2.4314, 2.4314 and 22.9793 Å, with angles of 90.00, 90.00 and 120.00 degrees. The asymmetric unit holds Mn at (0.0000, 0.0000, 0.0000), Mn at (0.0000, 0.0000, 0.2512), Be at (0.0000, 0.0000, 0.7507) and Ni at (0.0000, 0.0000, 0.4945).

As for the total energy: -14.203 eV/atom. As for the total moment: 0.0 μB/f.u. The calculation puts the formation energy at 0.22 eV per formula unit.

Entry 7:
# MnBe2Ni

A PBEsol-optimized structure of MnBe2Ni (SCAN, Alexandria via LeMat-Bulk).

The space group is P4/mmm (No. 123) and the conventional cell measures 2.589, 2.589 and 5.391 Å, with angles of 90.00, 90.00 and 90.00 degrees. The asymmetric unit holds Mn at (0.000, 0.000, 0.000), Be at (0.500, 0.500, 0.266) and Ni at (0.000, 0.000, 0.500).

As for the total energy: -11.180 eV/atom. As for the total moment: 2.4 μB/f.u. The calculation puts the formation energy at -1.58 eV per formula unit.

Entry 8:
# MnBeNi2

A PBEsol-optimized structure of MnBeNi2 (SCAN, Alexandria via LeMat-Bulk).

The space group is P4/mmm (No. 123) and the conventional cell measures 2.467, 2.467 and 6.290 Å, with angles of 90.00, 90.00 and 90.00 degrees. The asymmetric unit holds Mn at (0.000, 0.000, 0.000), Be at (0.000, 0.000, 0.500) and Ni at (0.500, 0.500, 0.279).

As for the total energy: -14.072 eV/atom. As for the total moment: 4.0 μB/f.u. The calculation puts the formation energy at -1.33 eV per formula unit.

Entry 9:
# Mn2BeNi

A PBEsol-optimized structure of Mn2BeNi (SCAN, Alexandria via LeMat-Bulk).

The space group is Pmmm (No. 47) and the conventional cell measures 2.846, 3.490 and 3.898 Å, with angles of 90.00, 90.00 and 90.00 degrees. The asymmetric unit holds Mn at (0.000, 0.000, 0.000), Mn at (0.500, 0.500, 0.000), Be at (0.000, 0.500, 0.500) and Ni at (0.500, 0.000, 0.500).

As for the total energy: -14.273 eV/atom. As for the total moment: 0.0 μB/f.u. The calculation puts the formation energy at -0.06 eV per formula unit.

Entry 10:
# MnBe2Ni

A PBEsol-optimized structure of MnBe2Ni (SCAN, Alexandria via LeMat-Bulk).

The space group is R-3m (No. 166, hexagonal axes) and the conventional cell measures 2.3967, 2.3967 and 22.2394 Å, with angles of 90.00, 90.00 and 120.00 degrees. The asymmetric unit holds Mn at (0.0000, 0.0000, 0.0000), Be at (0.0000, 0.0000, 0.2480) and Ni at (0.0000, 0.0000, 0.5000).

As for the total energy: -10.868 eV/atom. As for the total moment: 0.0 μB/f.u. The calculation puts the formation energy at -0.34 eV per formula unit.

Entry 11:
# Mn2BeNi

A PBEsol-optimized structure of Mn2BeNi (SCAN, Alexandria via LeMat-Bulk).

The space group is Cmmm (No. 65) and the conventional cell measures 4.427, 7.492 and 2.353 Å, with angles of 90.00, 90.00 and 90.00 degrees. The asymmetric unit holds Mn at (0.250, 0.250, 0.000), Be at (0.000, 0.000, 0.500) and Ni at (0.000, 0.500, 0.500).

As for the total energy: -14.220 eV/atom. As for the total moment: 3.2 μB/f.u. The calculation puts the formation energy at 0.16 eV per formula unit.

Entry 12:
# MnBe2NiW

A PBEsol-optimized structure of MnBe2NiW (SCAN, Alexandria via LeMat-Bulk).

The space group is P4/mmm (No. 123) and the conventional cell measures 3.773, 3.773 and 4.265 Å, with angles of 90.00, 90.00 and 90.00 degrees. The asymmetric unit holds Mn at (0.000, 0.000, 0.000), Be at (0.000, 0.500, 0.500), Ni at (0.000, 0.000, 0.500) and W at (0.500, 0.500, 0.000).

As for the total energy: -21.818 eV/atom. As for the total moment: 2.4 μB/f.u. The calculation puts the formation energy at 3.73 eV per formula unit.